[1]
Density functional theory data (PBE-GGA) for an optimized crystal structure of Ba3YCd.

The structure in extended XYZ format:
```
5
Lattice="6.538 0.000 0.000 0.000 6.538 0.000 0.000 0.000 6.538" Properties=species:S:1:pos:R:3 pbc="T T T"
Ba 0.000 0.000 3.269
Ba 0.000 3.269 0.000
Ba 3.269 0.000 0.000
Y 0.000 0.000 0.000
Cd 3.269 3.269 3.269
```

Calculated values
E above lowest polymorph: 257.3 meV/atom
E_tot: -2.034 eV/atom


[2]
Density functional theory data (PBE-GGA) for an optimized crystal structure of SmLuPd.

The structure in extended XYZ format:
```
3
Lattice="4.749 0.000 0.000 -2.375 4.113 0.000 0.000 0.000 3.898" Properties=species:S:1:pos:R:3 pbc="T T T"
Sm 0.000 0.000 0.000
Lu 0.000 2.742 1.866
Pd 2.375 1.371 2.517
```

Calculated values
E above lowest polymorph: 142.3 meV/atom
E_tot: -5.224 eV/atom


[3]
Density functional theory data (PBE-GGA) for an optimized crystal structure of Pu2InPt.

The structure in extended XYZ format:
```
4
Lattice="4.367 0.000 0.000 0.000 4.367 0.000 0.000 0.000 4.663" Properties=species:S:1:pos:R:3 pbc="T T T"
Pu 0.000 2.183 0.000
Pu 2.183 0.000 0.000
In 0.000 0.000 2.331
Pt 2.183 2.183 2.331
```

Calculated values
E above lowest polymorph: 45.1 meV/atom
E_tot: -9.759 eV/atom


[4]
Density functional theory data (PBE-GGA) for an optimized crystal structure of InPtRh2.

The structure in extended XYZ format:
```
8
Lattice="4.073 0.000 0.000 0.000 4.073 0.000 0.000 0.000 7.677" Properties=species:S:1:pos:R:3 pbc="T T T"
In 0.000 0.000 0.000
In 2.037 2.037 3.839
Pt 0.000 0.000 3.839
Pt 2.037 2.037 0.000
Rh 0.000 2.037 1.919
Rh 0.000 2.037 5.758
Rh 2.037 0.000 1.919
Rh 2.037 0.000 5.758
```

Calculated values
E_tot: -6.084 eV/atom